# 1
This record from the Alexandria database describes a geometry-optimized K3BrClF structure. The functional is GGA-PBE.

Output
energy relative to the elements, uncorrected	-2120	meV per atom
DOS(E_F)	0.0	states/eV/cell

Unit cell a=7.5643 b=4.4230 c=11.0240 alpha=90.00 beta=102.17 gamma=90.00
Atoms (fractional coordinates):
K 0.0408 0.2500 0.1760
K 0.2037 0.2500 0.5261
K 0.4318 0.7500 0.8179
K 0.5682 0.2500 0.1821
K 0.7963 0.7500 0.4739
K 0.9592 0.7500 0.8240
Br 0.3487 0.7500 0.3231
Br 0.6513 0.2500 0.6769
Cl 0.2376 0.2500 0.9475
Cl 0.7624 0.7500 0.0525
F 0.1256 0.7500 0.6374
F 0.8744 0.2500 0.3626

=====

# 2
This record from the Alexandria database describes a geometry-optimized ZrRu2Pt structure. The functional is GGA-PBE.

Output
formation enthalpy at 0 K	-0.1032	eV/atom
DOS(E_F)	4.6	states/eV/cell

Unit cell a=2.8581 b=4.7045 c=4.8913 alpha=90.00 beta=93.91 gamma=90.00
Atoms (fractional coordinates):
Zr 0.0000 0.0000 0.0000
Ru 0.3184 0.5000 0.7442
Ru 0.6816 0.5000 0.2558
Pt 0.5000 0.0000 0.5000

=====

# 3
This record from the Alexandria database describes a geometry-optimized TaAlRu2 structure. The functional is GGA-PBE.

Output
formation enthalpy at 0 K	-0.0305	eV/atom
DOS(E_F)	4.5	states/eV/cell

Unit cell a=9.0698 b=9.0698 c=9.0698 alpha=17.90 beta=17.90 gamma=17.90
Atoms (fractional coordinates):
Ta 0.0000 0.0000 0.0000
Al 0.7570 0.7570 0.7570
Ru 0.2459 0.2459 0.2459
Ru 0.5017 0.5017 0.5017

=====

# 4
This record from the Alexandria database describes a geometry-optimized Sm2CuGePd6 structure. The functional is GGA-PBE.

Output
formation enthalpy at 0 K	-0.5278	eV/atom
DOS(E_F)	4.5	states/eV/cell

Unit cell a=5.6311 b=5.6311 c=8.2221 alpha=109.92 beta=109.92 gamma=60.01
Atoms (fractional coordinates):
Sm 0.2039 0.2039 0.1118
Sm 0.7961 0.7961 0.8882
Cu 0.5000 0.5000 0.0000
Ge 0.0000 0.0000 0.5000
Pd 0.2494 0.2494 0.7397
Pd 0.2494 0.7425 0.7405
Pd 0.2575 0.7506 0.2595
Pd 0.7425 0.2494 0.7405
Pd 0.7506 0.2575 0.2595
Pd 0.7506 0.7506 0.2603

=====

# 5
This record from the Alexandria database describes a geometry-optimized ScSe2BrCl structure. The functional is GGA-PBE.

Output
energy relative to the elements, uncorrected	259	meV per atom
relative energy among the computed polymorphs	68.11	kJ/mol of atoms
DOS(E_F)	3.4	states/eV/cell

Unit cell a=5.1331 b=5.1331 c=4.8876 alpha=90.00 beta=90.00 gamma=90.00
Atoms (fractional coordinates):
Sc 0.0000 0.0000 0.0000
Se 0.0000 0.5000 0.5000
Se 0.5000 0.0000 0.5000
Br 0.5000 0.5000 0.0000
Cl 0.5000 0.5000 0.5000

=====

# 6
This record from the Alexandria database describes a geometry-optimized CaNd3C structure. The functional is GGA-PBE.

Output
formation enthalpy at 0 K	0.0843	eV/atom
DOS(E_F)	7.5	states/eV/cell

Unit cell a=5.3018 b=5.3018 c=5.3018 alpha=90.00 beta=90.00 gamma=90.00
Atoms (fractional coordinates):
Ca 0.0000 0.0000 0.0000
Nd 0.0000 0.5000 0.5000
Nd 0.5000 0.0000 0.5000
Nd 0.5000 0.5000 0.0000
C 0.5000 0.5000 0.5000

=====

# 7
This record from the Alexandria database describes a geometry-optimized SrZn2Pt structure. The functional is GGA-PBE.

Output
formation enthalpy at 0 K	-0.2323	eV/atom
DOS(E_F)	1.4	states/eV/cell

Unit cell a=4.8926 b=4.8926 c=4.8926 alpha=119.49 beta=119.49 gamma=90.89
Atoms (fractional coordinates):
Sr 0.0000 0.0000 0.0000
Zn 0.2500 0.7500 0.5000
Zn 0.5000 0.5000 0.0000
Pt 0.7500 0.2500 0.5000

=====

# 8
This record from the Alexandria database describes a geometry-optimized Tb8Ho3In2 structure. The functional is GGA-PBE.

Output
formation enthalpy at 0 K	0.0260	eV/atom
DOS(E_F)	14.5	states/eV/cell

Unit cell a=8.1934 b=5.5428 c=10.0704 alpha=90.00 beta=113.97 gamma=90.00
Atoms (fractional coordinates):
Tb 0.0894 0.0000 0.2664
Tb 0.1768 0.5000 0.8544
Tb 0.3225 0.0000 0.7333
Tb 0.3707 0.5000 0.2411
Tb 0.6293 0.5000 0.7589
Tb 0.6775 0.0000 0.2667
Tb 0.8232 0.5000 0.1456
Tb 0.9106 0.0000 0.7336
Ho 0.2033 0.5000 0.4999
Ho 0.5000 0.0000 0.5000
Ho 0.7967 0.5000 0.5001
In 0.2686 0.0000 0.0359
In 0.7314 0.0000 0.9641